Compound: SbMo
Source: Alexandria
Functional: PBE-GGA
Structure: optimized geometry

Its calculated volume is 19.185 A^3/atom. Its total energy is -6.94 eV/atom. As for the spin magnetization: 0.00 μB/f.u. The calculation puts the formation energy from raw total energies at 0.539 eV per atom.

The structure belongs to space group I4_1/amd (No. 141, origin choice 2); the cell edges are 4.358, 4.358 and 8.082 Å and the angles 90.00°, 90.00° and 90.00°. The asymmetric unit holds Sb at (0.000, 0.250, 0.375) and Mo at (0.000, 0.250, 0.875).

***

Compound: Na2Ca2La
Source: Alexandria
Functional: PBE-GGA
Structure: optimized geometry

As for the calculated formation energy: 0.216 eV per atom. Its calculated volume is 39.815 A^3/atom. Its total energy is -2.10 eV/atom. As for the spin magnetization: 0.00 μB/f.u. As for the excess energy over the best structure of this formula in the dataset: 32 meV/atom.

The structure belongs to space group I4/mmm (No. 139); the cell edges are 4.210, 4.210 and 22.461 Å and the angles 90.00°, 90.00° and 90.00°. The asymmetric unit holds Na at (0.000, 0.500, 0.250), Ca at (0.000, 0.000, 0.107) and La at (0.000, 0.000, 0.500).

***

Compound: NaCuIrSe3
Source: Alexandria
Functional: PBE-GGA
Structure: optimized geometry

Its calculated volume is 21.205 A^3/atom. Its total energy is -4.56 eV/atom. As for the spin magnetization: 0.00 μB/f.u. The calculation puts the formation energy from raw total energies at -0.435 eV per atom.

The structure belongs to space group P2_1/m (No. 11); the cell edges are 7.818, 3.846 and 8.835 Å and the angles 90.00°, 106.69° and 90.00°. The asymmetric unit holds Na at (0.212, 0.250, 0.258), Cu at (0.076, 0.250, 0.594), Ir at (0.322, 0.750, 0.847), Se at (0.121, 0.250, 0.876), Se at (0.247, 0.750, 0.543) and Se at (0.462, 0.750, 0.139).

***

Compound: K4HSe
Source: Alexandria
Functional: PBE-GGA
Structure: optimized geometry

Its calculated volume is 36.603 A^3/atom. Its total energy is -2.33 eV/atom. As for the spin magnetization: 0.76 μB/f.u.

The structure belongs to space group P4/mmm (No. 123); the cell edges are 5.347, 5.347 and 7.681 Å and the angles 90.00°, 90.00° and 90.00°. The asymmetric unit holds K at (0.000, 0.500, 0.241), H at (0.000, 0.000, 0.000) and Se at (0.500, 0.500, 0.500).

***

Compound: Ho4BS3
Source: Alexandria
Functional: PBE-GGA
Structure: optimized geometry

Its calculated volume is 20.551 A^3/atom. Its total energy is -6.30 eV/atom. As for the spin magnetization: 0.00 μB/f.u. The calculation puts the formation energy from raw total energies at -1.629 eV per atom.

The structure belongs to space group Cmmm (No. 65); the cell edges are 7.803, 10.953 and 3.848 Å and the angles 90.00°, 90.00° and 90.00°. The asymmetric unit holds Ho at (0.000, 0.235, 0.000), Ho at (0.228, 0.000, 0.500), B at (0.000, 0.000, 0.000), S at (0.000, 0.500, 0.000) and S at (0.250, 0.250, 0.500).

***

Compound: CsNb3Te
Source: Alexandria
Functional: PBE-GGA
Structure: optimized geometry

Its calculated volume is 26.295 A^3/atom. Its total energy is -4.33 eV/atom. As for the spin magnetization: 0.00 μB/f.u. As for the excess energy over the best structure of this formula in the dataset: 891 meV/atom. The calculation puts the formation energy from raw total energies at 2.516 eV per atom.

The structure belongs to space group Pm-3m (No. 221); the cell edges are 5.085, 5.085 and 5.085 Å and the angles 90.00°, 90.00° and 90.00°. The asymmetric unit holds Cs at (0.000, 0.000, 0.000), Nb at (0.000, 0.000, 0.500) and Te at (0.500, 0.500, 0.500).

***

Compound: Tm4CdAg5
Source: Alexandria
Functional: PBE-GGA
Structure: optimized geometry

As for the calculated formation energy: -0.287 eV per atom. Its calculated volume is 22.360 A^3/atom. Its total energy is -3.59 eV/atom. As for the spin magnetization: 0.00 μB/f.u.

The structure belongs to space group P4/mmm (No. 123); the cell edges are 3.539, 3.539 and 17.848 Å and the angles 90.00°, 90.00° and 90.00°. The asymmetric unit holds Tm at (0.000, 0.000, 0.103), Tm at (0.000, 0.000, 0.308), Cd at (0.000, 0.000, 0.500), Ag at (0.500, 0.500, 0.000), Ag at (0.500, 0.500, 0.206) and Ag at (0.500, 0.500, 0.407).

***

Compound: AsW4
Source: Alexandria
Functional: PBE-GGA
Structure: optimized geometry

As for the calculated formation energy: 1.007 eV per atom. Its calculated volume is 19.701 A^3/atom. Its total energy is -10.29 eV/atom. As for the spin magnetization: 0.00 μB/f.u. As for the excess energy over the best structure of this formula in the dataset: 0 meV/atom.

The structure belongs to space group I4/mmm (No. 139); the cell edges are 4.074, 4.074 and 11.867 Å and the angles 90.00°, 90.00° and 90.00°. The asymmetric unit holds As at (0.000, 0.000, 0.000), W at (0.000, 0.000, 0.384) and W at (0.000, 0.500, 0.250).

***

What is the spin magnetization in the sixth record? 0.00 μB/f.u.